Compound: InPS2Br
Source: the Alexandria database
Functional: PBE
Structure: relaxed

Unit cell a=4.9393 b=4.9393 c=5.4813 alpha=90.00 beta=90.00 gamma=90.00
Last column: nearest neighbours and their distance in Å.
Fractional coordinates of all 5 atoms:
Br1 0.5000 0.5000 0.5000  4 P 3.49, 8 S 3.69
In1 0.0000 0.0000 0.0000  4 S 2.47, 2 P 2.74
S1 0.0000 0.5000 0.0000  2 In 2.47
S2 0.5000 0.0000 0.0000  2 In 2.47
P1 0.0000 0.0000 0.5000  2 In 2.74

Output
Formation energy without anion corrections = 0.849 eV/atom
SG = P4/mmm (123)
Energy above the most stable polymorph in this dataset = 0 meV per atom
Crystal system = tetragonal
Calculated volume = 26.745 A^3/atom
M_tot = 0.009 μB per formula unit

Compound: Hf3PN3
Source: the Alexandria database
Functional: PBE
Structure: relaxed

Unit cell a=6.2613 b=6.2613 c=7.3106 alpha=64.64 beta=64.64 gamma=60.00
Last column: nearest neighbours and their distance in Å.
Fractional coordinates of all 14 atoms:
N1 0.1322 0.4163 0.6398  4 Hf 2.09-2.18
N2 0.5837 0.1883 0.3602  4 Hf 2.09-2.18
N3 0.4163 0.8117 0.6398  4 Hf 2.09-2.18
N4 0.8678 0.5837 0.3602  4 Hf 2.09-2.18
N5 0.8117 0.1322 0.6398  4 Hf 2.09-2.18
N6 0.1883 0.8678 0.3602  4 Hf 2.09-2.18
Hf1 0.5401 0.9082 0.3002  4 N 2.09-2.18
Hf2 0.2514 0.5401 0.3002  4 N 2.09-2.18
Hf3 0.0918 0.7486 0.6998  4 N 2.09-2.18
Hf4 0.4599 0.0918 0.6998  4 N 2.09-2.18
Hf5 0.7486 0.4599 0.6998  4 N 2.09-2.18
Hf6 0.9082 0.2514 0.3002  4 N 2.09-2.18
P1 0.6680 0.6680 0.9960  6 Hf 2.73-2.83
P2 0.3320 0.3320 0.0040  6 Hf 2.73-2.83

Output
Formation energy without anion corrections = -1.457 eV/atom
SG = R-3 (148)
Crystal system = trigonal
Calculated volume = 15.410 A^3/atom
M_tot = 0.000 μB per formula unit

Compound: TbScCoHg
Source: the Alexandria database
Functional: PBE
Structure: relaxed

Unit cell a=4.9011 b=4.9011 c=4.9011 alpha=60.00 beta=60.00 gamma=60.00
Last column: nearest neighbours and their distance in Å.
Fractional coordinates of all 4 atoms:
Co1 0.7500 0.7500 0.7500  4 Tb 3.00, 4 Sc 3.00
Hg1 0.2500 0.2500 0.2500  4 Tb 3.00, 4 Sc 3.00
Sc1 0.0000 0.0000 0.0000  4 Hg 3.00, 4 Co 3.00
Tb1 0.5000 0.5000 0.5000  4 Hg 3.00, 4 Co 3.00

Output
Energy relative to the elements = -0.9 eV/f.u.
SG = F-43m (216)
Crystal system = cubic
Calculated volume = 20.812 A^3/atom
M_tot = 0.540 μB per formula unit

Compound: CeTl2Ag9
Source: the Alexandria database
Functional: PBE
Structure: relaxed

Unit cell a=5.6549 b=5.6549 c=9.8544 alpha=73.33 beta=73.33 gamma=60.00
Last column: nearest neighbours and their distance in Å.
Fractional coordinates of all 12 atoms:
Ag1 0.5848 0.5848 0.7493  7 Ag 2.81-2.85
Ag2 0.4152 0.4152 0.2507  7 Ag 2.81-2.85
Ag3 0.4152 0.9189 0.2507  7 Ag 2.81-2.85
Ag4 0.5000 0.5000 0.5000  6 Ag 2.84
Ag5 0.0811 0.5848 0.7493  7 Ag 2.81-2.85
Ag6 0.9189 0.4152 0.2507  7 Ag 2.81-2.85
Ag7 0.6666 0.6666 0.0002  6 Ag 2.84-2.85
Ag8 0.5848 0.0811 0.7493  7 Ag 2.81-2.85
Ag9 0.3334 0.3334 0.9998  6 Ag 2.84-2.85
Tl1 0.8584 0.8584 0.4249  12 Ag 3.26-3.42, 3 Tl 3.55
Tl2 0.1416 0.1416 0.5751  12 Ag 3.26-3.42, 3 Tl 3.55
Ce1 0.0000 0.0000 0.0000  6 Ag 3.26

Output
Energy relative to the elements = 0.1 eV/f.u.
SG = R-3m (166)
Crystal system = trigonal
Calculated volume = 21.458 A^3/atom
M_tot = 1.296 μB per formula unit

| no. | final energy (eV/atom) |
| --- | --- |
| 1 | -2.7666 |
| 2 | -10.0638 |
| 3 | -4.8114 |
| 4 | -3.0195 |